A plane-wave DFT calculation with GGA-PBE was carried out for Sm3Sb2Te3 after structural relaxation.

a = 9.5628 Å, b = 9.5628 Å, c = 6.0971 Å
α = 90.00°, β = 90.00°, γ = 120.00°
Sites, in units of the cell vectors:
Sm1 0.0000 0.3782 0.2500
Sm2 0.0000 0.6218 0.7500
Sm3 0.3782 0.0000 0.2500
Sm4 0.3782 0.3782 0.7500
Sm5 0.6218 0.0000 0.7500
Sm6 0.6218 0.6218 0.2500
Sb1 0.3333 0.6667 0.0000
Sb2 0.3333 0.6667 0.5000
Sb3 0.6667 0.3333 0.0000
Sb4 0.6667 0.3333 0.5000
Te1 0.0000 0.2695 0.7500
Te2 0.0000 0.7305 0.2500
Te3 0.2695 0.0000 0.7500
Te4 0.2695 0.2695 0.2500
Te5 0.7305 0.0000 0.2500
Te6 0.7305 0.7305 0.7500

Values from the calculation:
* VASP energy: -5.091 eV/atom
* crystal system: hexagonal
* E_form (uncorrected): -1.113 eV/atom
* M_tot: 0.00 Bohr magnetons per cell